Material: MnBiAs2O8
Method: DFT, PBE with a Hubbard U
State: relaxed

Cell: 5.944 5.944 5.944 Å, 106.63 106.63 115.32°
Last column: magnetic moment on the atom in μB.
Sites, in units of the cell vectors:
O1 0.743 0.065 0.678  0.00
O2 0.863 0.679 0.184  0.00
O3 0.387 0.065 0.322  0.00
O4 0.935 0.613 0.678  0.00
O5 0.935 0.257 0.322  0.00
O6 0.321 0.505 0.184  0.00
O7 0.321 0.137 0.816  0.00
O8 0.495 0.679 0.816  0.00
Mn1 0.250 0.750 0.500  4.62
As1 0.500 0.500 0.000  0.02
As2 0.750 0.250 0.500  0.01
Bi1 0.000 0.000 0.000  -0.01

Its energy is -74.9 eV per formula unit. As for the space group: No. 119.